(1)
The following is a DFT calculation (PBE) of a relaxed LuBPd crystal.

density	8.43	g/cm3
energy above the most stable polymorph in this dataset	752	meV per atom

Geometry as CIF:
```
data_LuBPd
_cell_length_a 6.130
_cell_length_b 6.130
_cell_length_c 6.130
_cell_angle_alpha 90.00
_cell_angle_beta 90.00
_cell_angle_gamma 90.00
_space_group_name_H-M_alt 'F -4 3 m'
_space_group_IT_number 216
_space_group_name_Hall 'F -4 2 3'
loop_
_atom_site_label
_atom_site_fract_x
_atom_site_fract_y
_atom_site_fract_z
Lu1 0.000 0.000 0.000
B1 0.250 0.250 0.750
Pd1 0.250 0.250 0.250
```



(2)
The following is a DFT calculation (PBE) of a relaxed LuReB4 crystal.

density	11.59	g/cm3
energy above the most stable polymorph in this dataset	45	meV per atom

Geometry as CIF:
```
data_LuReB4
_cell_length_a 3.1176
_cell_length_b 3.1176
_cell_length_c 6.8853
_cell_angle_alpha 90.00
_cell_angle_beta 90.00
_cell_angle_gamma 120.00
_space_group_name_H-M_alt 'P 6/m m m'
_space_group_IT_number 191
_space_group_name_Hall '-P 6 2'
loop_
_atom_site_label
_atom_site_fract_x
_atom_site_fract_y
_atom_site_fract_z
Lu1 0.0000 0.0000 0.0000
Re1 0.0000 0.0000 0.5000
B1 0.3333 0.6667 0.2671
```



(3)
The following is a DFT calculation (PBE) of a relaxed LuReB crystal.

density	10.76	g/cm3
energy above the most stable polymorph in this dataset	1757	meV per atom

Geometry as CIF:
```
data_LuReB
_cell_length_a 6.124
_cell_length_b 6.124
_cell_length_c 6.124
_cell_angle_alpha 90.00
_cell_angle_beta 90.00
_cell_angle_gamma 90.00
_space_group_name_H-M_alt 'F -4 3 m'
_space_group_IT_number 216
_space_group_name_Hall 'F -4 2 3'
loop_
_atom_site_label
_atom_site_fract_x
_atom_site_fract_y
_atom_site_fract_z
Lu1 0.000 0.000 0.000
Re1 0.250 0.250 0.250
B1 0.250 0.250 0.750
```



(4)
The following is a DFT calculation (PBE) of a relaxed Lu2ReB6 crystal.

density	10.71	g/cm3
final energy	-67.74	eV per formula unit

Geometry as CIF:
```
data_Lu2ReB6
_cell_length_a 9.057
_cell_length_b 11.394
_cell_length_c 3.611
_cell_angle_alpha 90.00
_cell_angle_beta 90.00
_cell_angle_gamma 90.00
_space_group_name_H-M_alt 'P b a m'
_space_group_IT_number 55
_space_group_name_Hall '-P 2 2ab'
loop_
_atom_site_label
_atom_site_fract_x
_atom_site_fract_y
_atom_site_fract_z
Lu1 0.056 0.130 0.000
Lu2 0.177 0.414 0.000
Re1 0.139 0.679 0.000
B1 0.019 0.288 0.500
B2 0.053 0.566 0.500
B3 0.099 0.972 0.500
B4 0.131 0.816 0.500
B5 0.206 0.235 0.500
B6 0.249 0.080 0.500
```



(5)
The following is a DFT calculation (PBE) of a relaxed LuReB4 crystal.

density	11.70	g/cm3
energy above the most stable polymorph in this dataset	0	meV per atom

Geometry as CIF:
```
data_LuReB4
_cell_length_a 3.120
_cell_length_b 5.323
_cell_length_c 6.912
_cell_angle_alpha 90.00
_cell_angle_beta 90.00
_cell_angle_gamma 90.00
_space_group_name_H-M_alt 'I m m m'
_space_group_IT_number 71
_space_group_name_Hall '-I 2 2'
loop_
_atom_site_label
_atom_site_fract_x
_atom_site_fract_y
_atom_site_fract_z
Lu1 0.000 0.000 0.000
Re1 0.000 0.000 0.500
B1 0.000 0.336 0.251
```



(6)
The following is a DFT calculation (PBE) of a relaxed LuReB crystal.

density	13.28	g/cm3
energy above the most stable polymorph in this dataset	0	meV per atom

Geometry as CIF:
```
data_LuReB
_cell_length_a 5.709
_cell_length_b 5.709
_cell_length_c 5.709
_cell_angle_alpha 90.00
_cell_angle_beta 90.00
_cell_angle_gamma 90.00
_space_group_name_H-M_alt 'F -4 3 m'
_space_group_IT_number 216
_space_group_name_Hall 'F -4 2 3'
loop_
_atom_site_label
_atom_site_fract_x
_atom_site_fract_y
_atom_site_fract_z
Lu1 0.000 0.000 0.000
Re1 0.000 0.000 0.500
B1 0.250 0.250 0.250
```



(7)
The following is a DFT calculation (PBE) of a relaxed Lu4B3S crystal.

density	8.74	g/cm3
final energy	-45.28	eV per formula unit

Geometry as CIF:
```
data_Lu4B3S
_cell_length_a 3.5433
_cell_length_b 3.5433
_cell_length_c 26.7102
_cell_angle_alpha 90.00
_cell_angle_beta 90.00
_cell_angle_gamma 120.00
_space_group_name_H-M_alt 'P 63/m m c'
_space_group_IT_number 194
_space_group_name_Hall '-P 6c 2c'
loop_
_atom_site_label
_atom_site_fract_x
_atom_site_fract_y
_atom_site_fract_z
Lu1 0.0000 0.0000 0.1810
Lu2 0.3333 0.6667 0.0617
B1 0.0000 0.0000 0.0000
B2 0.3333 0.6667 0.6246
S1 0.3333 0.6667 0.2500
```



(8)
The following is a DFT calculation (PBE) of a relaxed Lu2BSb crystal.

density	9.06	g/cm3
final energy	-21.42	eV per formula unit

Geometry as CIF:
```
data_Lu2BSb
_cell_length_a 3.6544
_cell_length_b 3.6544
_cell_length_c 15.2874
_cell_angle_alpha 90.00
_cell_angle_beta 90.00
_cell_angle_gamma 120.00
_space_group_name_H-M_alt 'P 63/m m c'
_space_group_IT_number 194
_space_group_name_Hall '-P 6c 2c'
loop_
_atom_site_label
_atom_site_fract_x
_atom_site_fract_y
_atom_site_fract_z
Lu1 0.3333 0.6667 0.0936
B1 0.0000 0.0000 0.0000
Sb1 0.3333 0.6667 0.7500
```